Record 1
# RbHfCd3 PBE relaxed
# Density of states at the Fermi level, states/eV per cell: 8.34
# Energy above the lowest structure with this stoichiometry, meV/atom: 987
# Density, g/cm³: 4.72
# DFT formation energy, eV per atom: 1.488
# Magnetic moment, μB per formula unit: 2.37
data_RbHfCd3
_chemical_formula_sum 'Rb1 Hf1 Cd3'
_cell_length_a 5.957
_cell_length_b 5.957
_cell_length_c 5.957
_cell_angle_alpha 90.00
_cell_angle_beta 90.00
_cell_angle_gamma 90.00
_symmetry_space_group_name_H-M 'P 1'
_symmetry_Int_Tables_number 1
loop_
_symmetry_equiv_pos_as_xyz
'x,y,z'
loop_
_atom_site_label
_atom_site_type_symbol
_atom_site_fract_x
_atom_site_fract_y
_atom_site_fract_z
_atom_site_occupancy
Hf1 Hf 0.500 0.500 0.500 1
Rb1 Rb 0.000 0.000 0.000 1
Cd1 Cd 0.000 0.500 0.000 1
Cd2 Cd 0.000 0.000 0.500 1
Cd3 Cd 0.500 0.000 0.000 1

=====

Record 2
# Li2Tb2DyIn5 PBE relaxed
# Density of states at the Fermi level, states/eV per cell: 11.09
# Density, g/cm³: 7.53
# DFT formation energy, eV per atom: -0.383
# Magnetic moment, μB per formula unit: 0.00
data_Li2Tb2DyIn5
_chemical_formula_sum 'Li4 Tb4 Dy2 In10'
_cell_length_a 4.416
_cell_length_b 10.330
_cell_length_c 10.330
_cell_angle_alpha 90.00
_cell_angle_beta 90.00
_cell_angle_gamma 90.00
_symmetry_space_group_name_H-M 'P 1'
_symmetry_Int_Tables_number 1
loop_
_symmetry_equiv_pos_as_xyz
'x,y,z'
loop_
_atom_site_label
_atom_site_type_symbol
_atom_site_fract_x
_atom_site_fract_y
_atom_site_fract_z
_atom_site_occupancy
Li1 Li 0.000 0.119 0.619 1
Li2 Li 0.000 0.881 0.381 1
Li3 Li 0.000 0.619 0.881 1
Li4 Li 0.000 0.381 0.119 1
Tb1 Tb 0.000 0.675 0.175 1
Tb2 Tb 0.000 0.325 0.825 1
Tb3 Tb 0.000 0.175 0.325 1
Tb4 Tb 0.000 0.825 0.675 1
Dy1 Dy 0.000 0.000 0.000 1
Dy2 Dy 0.000 0.500 0.500 1
In1 In 0.500 0.212 0.073 1
In2 In 0.500 0.788 0.927 1
In3 In 0.500 0.073 0.788 1
In4 In 0.500 0.712 0.427 1
In5 In 0.500 0.927 0.212 1
In6 In 0.500 0.288 0.573 1
In7 In 0.500 0.573 0.712 1
In8 In 0.500 0.427 0.288 1
In9 In 0.500 0.500 0.000 1
In10 In 0.500 0.000 0.500 1

=====

Record 3
# Cs2NaBeSb2 PBE relaxed
# Density of states at the Fermi level, states/eV per cell: 8.74
# Density, g/cm³: 4.11
# Magnetic moment, μB per formula unit: 0.00
# E_form (uncorrected), eV per atom: -0.249
data_Cs2NaBeSb2
_chemical_formula_sum 'Cs4 Na2 Be2 Sb4'
_cell_length_a 7.479
_cell_length_b 7.005
_cell_length_c 9.800
_cell_angle_alpha 110.94
_cell_angle_beta 112.43
_cell_angle_gamma 90.00
_symmetry_space_group_name_H-M 'P 1'
_symmetry_Int_Tables_number 1
loop_
_symmetry_equiv_pos_as_xyz
'x,y,z'
loop_
_atom_site_label
_atom_site_type_symbol
_atom_site_fract_x
_atom_site_fract_y
_atom_site_fract_z
_atom_site_occupancy
Cs1 Cs 0.408 0.168 0.335 1
Cs2 Cs 0.592 0.832 0.665 1
Cs3 Cs 0.072 0.332 0.665 1
Cs4 Cs 0.928 0.668 0.335 1
Na1 Na 0.000 0.750 0.000 1
Na2 Na 0.000 0.250 0.000 1
Be1 Be 0.500 0.750 0.000 1
Be2 Be 0.500 0.250 0.000 1
Sb1 Sb 0.765 0.077 0.153 1
Sb2 Sb 0.388 0.577 0.153 1
Sb3 Sb 0.612 0.423 0.847 1
Sb4 Sb 0.235 0.923 0.847 1

=====

density of number 3 (Cs2NaBeSb2)? 4.11 g/cm³

=====

What did the third record say?
# Cs2NaBeSb2 PBE relaxed
# Density of states at the Fermi level, states/eV per cell: 8.74
# Density, g/cm³: 4.11
# Magnetic moment, μB per formula unit: 0.00
# E_form (uncorrected), eV per atom: -0.249
data_Cs2NaBeSb2
_chemical_formula_sum 'Cs4 Na2 Be2 Sb4'
_cell_length_a 7.479
_cell_length_b 7.005
_cell_length_c 9.800
_cell_angle_alpha 110.94
_cell_angle_beta 112.43
_cell_angle_gamma 90.00
_symmetry_space_group_name_H-M 'P 1'
_symmetry_Int_Tables_number 1
loop_
_symmetry_equiv_pos_as_xyz
'x,y,z'
loop_
_atom_site_label
_atom_site_type_symbol
_atom_site_fract_x
_atom_site_fract_y
_atom_site_fract_z
_atom_site_occupancy
Cs1 Cs 0.408 0.168 0.335 1
Cs2 Cs 0.592 0.832 0.665 1
Cs3 Cs 0.072 0.332 0.665 1
Cs4 Cs 0.928 0.668 0.335 1
Na1 Na 0.000 0.750 0.000 1
Na2 Na 0.000 0.250 0.000 1
Be1 Be 0.500 0.750 0.000 1
Be2 Be 0.500 0.250 0.000 1
Sb1 Sb 0.765 0.077 0.153 1
Sb2 Sb 0.388 0.577 0.153 1
Sb3 Sb 0.612 0.423 0.847 1
Sb4 Sb 0.235 0.923 0.847 1